# 1
## La2TmThP4 (PBE-GGA)

Data for crystalline La2TmThP4 at its relaxed geometry.

## Properties
* electronic total energy: -7.01 eV/atom
* formation energy from the elements: -1.5871 eV/atom

Lattice parameters (Å, degrees): 7.173 4.161 7.235 90.00 109.39 90.00
Space group P2/m (No. 10)
Unique sites:
La: 0.000 0.000 0.000
La: 0.500 0.500 0.000
Tm: 0.000 0.500 0.500
Th: 0.500 0.000 0.500
P: 0.241 0.000 0.735
P: 0.250 0.500 0.263


# 2
## Tm8CuSb2 (PBE-GGA)

Data for crystalline Tm8CuSb2 at its relaxed geometry.

## Properties
* electronic total energy: -4.73 eV/atom
* raw formation energy: -0.36 eV per atom

Lattice parameters (Å, degrees): 18.551 4.810 6.791 90.00 101.71 90.00
Space group C2/m (No. 12)
Unique sites:
Tm: 0.012 0.000 0.275
Tm: 0.093 0.500 0.988
Tm: 0.148 0.500 0.522
Tm: 0.215 0.000 0.836
Cu: 0.000 0.500 0.500
Sb: 0.182 0.000 0.273


# 3
## TmS2Cl4 (PBE-GGA)

Data for crystalline TmS2Cl4 at its relaxed geometry.

## Properties
* electronic total energy: -4.09 eV/atom
* raw formation energy: -1.22 eV per atom

Lattice parameters (Å, degrees): 3.942 7.213 8.598 104.98 95.48 90.21
Space group P-1 (No. 2)
Unique sites:
Tm: 0.000 0.000 0.000
S: 0.317 0.413 0.462
Cl: 0.028 0.357 0.165
Cl: 0.465 0.075 0.820